(1)
Material: ZrAlAu2
Method: DFT, PBEsol
State: optimized geometry

a = 4.7056 Å, b = 4.7056 Å, c = 4.7056 Å
α = 123.29°, β = 123.29°, γ = 84.39°
Closest atoms and distances in Å follow each position.
Atoms (fractional coordinates):
Zr 0.0000 0.0000 0.0000  4 Al 2.83, 8 Au 2.83-3.16
Al 0.7500 0.2500 0.5000  4 Zr 2.83, 8 Au 2.83-3.16
Au 0.2500 0.7500 0.5000  4 Zr 2.83, 4 Au 2.83, 4 Al 3.16
Au 0.5000 0.5000 0.0000  4 Al 2.83, 4 Au 2.83, 4 Zr 3.16

Output
formation energy	-0.43	eV/atom



(2)
Material: Zr3AlAu2
Method: DFT, PBEsol
State: optimized geometry

a = 8.6548 Å, b = 8.6548 Å, c = 8.6548 Å
α = 60.00°, β = 60.00°, γ = 60.00°
Closest atoms and distances in Å follow each position.
Atoms (fractional coordinates):
Zr 0.0722 0.0722 0.6778  4 Au 2.85-3.04, 2 Al 3.07
Zr 0.0722 0.6778 0.0722  4 Au 2.85-3.04, 2 Al 3.07
Zr 0.0722 0.6778 0.6778  4 Au 2.85-3.04, 2 Al 3.07
Zr 0.3222 0.3222 0.9278  4 Au 2.85-3.04, 2 Al 3.07
Zr 0.3222 0.9278 0.3222  4 Au 2.85-3.04, 2 Al 3.07
Zr 0.3222 0.9278 0.9278  4 Au 2.85-3.04, 2 Al 3.07
Zr 0.6778 0.0722 0.0722  4 Au 2.85-3.04, 2 Al 3.07
Zr 0.6778 0.0722 0.6778  4 Au 2.85-3.04, 2 Al 3.07
Zr 0.6778 0.6778 0.0722  4 Au 2.85-3.04, 2 Al 3.07
Zr 0.9278 0.3222 0.3222  4 Au 2.85-3.04, 2 Al 3.07
Zr 0.9278 0.3222 0.9278  4 Au 2.85-3.04, 2 Al 3.07
Zr 0.9278 0.9278 0.3222  4 Au 2.85-3.04, 2 Al 3.07
Al 0.0000 0.5000 0.5000  6 Au 2.68
Al 0.5000 0.0000 0.5000  6 Au 2.68
Al 0.5000 0.5000 0.0000  6 Au 2.68
Al 0.5000 0.5000 0.5000  6 Au 2.68
Au 0.2877 0.2877 0.2877  3 Al 2.68, 3 Zr 2.85
Au 0.2877 0.2877 0.6369  3 Al 2.68, 3 Zr 2.85
Au 0.2877 0.6369 0.2877  3 Al 2.68, 3 Zr 2.85
Au 0.3631 0.7123 0.7123  3 Al 2.68, 3 Zr 2.85
Au 0.6369 0.2877 0.2877  3 Al 2.68, 3 Zr 2.85
Au 0.7123 0.3631 0.7123  3 Al 2.68, 3 Zr 2.85
Au 0.7123 0.7123 0.3631  3 Al 2.68, 3 Zr 2.85
Au 0.7123 0.7123 0.7123  3 Al 2.68, 3 Zr 2.85

Output
formation energy	-0.52	eV/atom



(3)
Material: ZrAlAu2
Method: DFT, PBEsol
State: optimized geometry

a = 9.2325 Å, b = 9.2325 Å, c = 9.2325 Å
α = 18.89°, β = 18.89°, γ = 18.89°
Closest atoms and distances in Å follow each position.
Atoms (fractional coordinates):
Zr 0.0000 0.0000 0.0000  3 Au 2.90, 3 Al 2.99, 6 Zr 3.03
Al 0.2442 0.2442 0.2442  3 Au 2.65
Au 0.5042 0.5042 0.5042  3 Al 2.65, 3 Au 2.92
Au 0.7516 0.7516 0.7516  3 Zr 2.90, 9 Au 2.92-3.03

Output
formation energy	-0.22	eV/atom



(4)
Material: Ba4NaAl2B8Cl3O18
Method: DFT, PBEsol
State: optimized geometry

a = 12.0927 Å, b = 12.0927 Å, c = 6.8318 Å
α = 90.00°, β = 90.00°, γ = 90.00°
Closest atoms and distances in Å follow each position.
Atoms (fractional coordinates):
Ba 0.0190 0.2793 0.0000  6 O 2.75-2.92
Ba 0.2207 0.5190 0.5000  6 O 2.75-2.92
Ba 0.2793 0.0190 0.0000  6 O 2.75-2.92
Ba 0.4810 0.7793 0.5000  6 O 2.75-2.92
Ba 0.5190 0.2207 0.5000  6 O 2.75-2.92
Ba 0.7207 0.9810 0.0000  6 O 2.75-2.92
Ba 0.7793 0.4810 0.5000  6 O 2.75-2.92
Ba 0.9810 0.7207 0.0000  6 O 2.75-2.92
Na 0.0000 0.0000 0.6753  4 O 2.53, 1 Cl 2.64
Na 0.5000 0.5000 0.1753  4 O 2.53, 1 Cl 2.64
Al 0.2046 0.2046 0.4928  4 O 1.76-1.77
Al 0.2954 0.7046 0.9928  4 O 1.76-1.77
Al 0.7046 0.2954 0.9928  4 O 1.76-1.77
Al 0.7954 0.7954 0.4928  4 O 1.76-1.77
B 0.0322 0.7669 0.4605  3 O 1.36-1.39
B 0.1816 0.8184 0.6986  4 O 1.43-1.52
B 0.2317 0.7683 0.3662  4 O 1.44-1.49
B 0.2331 0.9678 0.4605  3 O 1.36-1.39
B 0.2669 0.4678 0.9605  3 O 1.36-1.39
B 0.2683 0.2683 0.8662  4 O 1.44-1.49
B 0.3184 0.3184 0.1986  4 O 1.43-1.52
B 0.4678 0.2669 0.9605  3 O 1.36-1.39
B 0.5322 0.7331 0.9605  3 O 1.36-1.39
B 0.6816 0.6816 0.1986  4 O 1.43-1.52
B 0.7317 0.7317 0.8662  4 O 1.44-1.49
B 0.7331 0.5322 0.9605  3 O 1.36-1.39
B 0.7669 0.0322 0.4605  3 O 1.36-1.39
B 0.7683 0.2317 0.3662  4 O 1.44-1.49
B 0.8184 0.1816 0.6986  4 O 1.43-1.52
B 0.9678 0.2331 0.4605  3 O 1.36-1.39
Cl 0.0000 0.0000 0.0616  1 Na 2.64
Cl 0.0000 0.5000 0.2328  4 Ba 3.12-3.24, 4 O 3.31-3.45, 2 Cl 3.42
Cl 0.0000 0.5000 0.7328  4 Ba 3.12-3.24, 4 O 3.31-3.45, 2 Cl 3.42
Cl 0.5000 0.0000 0.2328  4 Ba 3.12-3.24, 4 O 3.31-3.45, 2 Cl 3.42
Cl 0.5000 0.0000 0.7328  4 Ba 3.12-3.24, 4 O 3.31-3.45, 2 Cl 3.42
Cl 0.5000 0.5000 0.5616  1 Na 2.64
O 0.0603 0.8002 0.6484  2 B 1.39-1.52
O 0.0743 0.2409 0.3997  1 B 1.36
O 0.1132 0.7442 0.3240  2 B 1.38-1.49
O 0.1981 0.1981 0.7509  1 B 1.44
O 0.1984 0.8016 0.9044  1 B 1.43
O 0.1998 0.9397 0.6484  2 B 1.39-1.52
O 0.2409 0.0743 0.3997  1 B 1.36
O 0.2442 0.3868 0.8240  2 B 1.38-1.49
O 0.2483 0.2483 0.0760  2 B 1.46-1.47
O 0.2517 0.7483 0.5760  2 B 1.46-1.47
O 0.2558 0.8868 0.3240  2 B 1.38-1.49
O 0.2591 0.5743 0.8997  1 B 1.36
O 0.3002 0.4397 0.1484  2 B 1.39-1.52
O 0.3016 0.3016 0.4044  1 B 1.43
O 0.3019 0.6981 0.2509  1 B 1.44
O 0.3868 0.2442 0.8240  2 B 1.38-1.49
O 0.4257 0.7409 0.8997  1 B 1.36
O 0.4397 0.3002 0.1484  2 B 1.39-1.52
O 0.5603 0.6998 0.1484  2 B 1.39-1.52
O 0.5743 0.2591 0.8997  1 B 1.36
O 0.6132 0.7558 0.8240  2 B 1.38-1.49
O 0.6981 0.3019 0.2509  1 B 1.44
O 0.6984 0.6984 0.4044  1 B 1.43
O 0.6998 0.5603 0.1484  2 B 1.39-1.52
O 0.7409 0.4257 0.8997  1 B 1.36
O 0.7442 0.1132 0.3240  2 B 1.38-1.49
O 0.7483 0.2517 0.5760  2 B 1.46-1.47
O 0.7517 0.7517 0.0760  2 B 1.46-1.47
O 0.7558 0.6132 0.8240  2 B 1.38-1.49
O 0.7591 0.9257 0.3997  1 B 1.36
O 0.8002 0.0603 0.6484  2 B 1.39-1.52
O 0.8016 0.1984 0.9044  1 B 1.43
O 0.8019 0.8019 0.7509  1 B 1.44
O 0.8868 0.2558 0.3240  2 B 1.38-1.49
O 0.9257 0.7591 0.3997  1 B 1.36
O 0.9397 0.1998 0.6484  2 B 1.39-1.52

Output
E_form (uncorrected)	-2.70	eV per atom



(5)
Material: K3Ba3Li2Al4B6O20F
Method: DFT, PBEsol
State: optimized geometry

a = 8.7632 Å, b = 8.7632 Å, c = 16.4397 Å
α = 90.00°, β = 90.00°, γ = 120.00°
Closest atoms and distances in Å follow each position.
Atoms (fractional coordinates):
K 0.0000 0.2929 0.0000  1 F 2.57
K 0.0000 0.2929 0.5000  1 F 2.57
K 0.2929 0.0000 0.0000  1 F 2.57
K 0.2929 0.0000 0.5000  1 F 2.57
K 0.7071 0.7071 0.0000  1 F 2.57
K 0.7071 0.7071 0.5000  1 F 2.57
Ba 0.0111 0.3166 0.2500  6 O 2.62-2.76
Ba 0.3055 0.9889 0.2500  6 O 2.62-2.76
Ba 0.3166 0.0111 0.7500  6 O 2.62-2.76
Ba 0.6834 0.6945 0.2500  6 O 2.62-2.76
Ba 0.6945 0.6834 0.7500  6 O 2.62-2.76
Ba 0.9889 0.3055 0.7500  6 O 2.62-2.76
Li 0.0000 0.0000 0.1119  1 F 1.84, 3 O 1.91
Li 0.0000 0.0000 0.3881  1 F 1.84, 3 O 1.91
Li 0.0000 0.0000 0.6119  1 F 1.84, 3 O 1.91
Li 0.0000 0.0000 0.8881  1 F 1.84, 3 O 1.91
Al 0.3333 0.6667 0.1041  4 O 1.71-1.75
Al 0.3333 0.6667 0.3959  4 O 1.71-1.75
Al 0.3333 0.6667 0.6049  4 O 1.72-1.77
Al 0.3333 0.6667 0.8951  4 O 1.72-1.77
Al 0.6667 0.3333 0.1049  4 O 1.72-1.77
Al 0.6667 0.3333 0.3951  4 O 1.72-1.77
Al 0.6667 0.3333 0.6041  4 O 1.71-1.75
Al 0.6667 0.3333 0.8959  4 O 1.71-1.75
B 0.0061 0.6570 0.6415  3 O 1.35-1.40
B 0.0061 0.6570 0.8585  3 O 1.35-1.40
B 0.3430 0.3491 0.6415  3 O 1.35-1.40
B 0.3430 0.3491 0.8585  3 O 1.35-1.40
B 0.3491 0.3430 0.1415  3 O 1.35-1.40
B 0.3491 0.3430 0.3585  3 O 1.35-1.40
B 0.6509 0.9939 0.6415  3 O 1.35-1.40
B 0.6509 0.9939 0.8585  3 O 1.35-1.40
B 0.6570 0.0061 0.1415  3 O 1.35-1.40
B 0.6570 0.0061 0.3585  3 O 1.35-1.40
B 0.9939 0.6509 0.1415  3 O 1.35-1.40
B 0.9939 0.6509 0.3585  3 O 1.35-1.40
O 0.0661 0.8315 0.6441  1 B 1.35
O 0.0661 0.8315 0.8559  1 B 1.35
O 0.1160 0.5835 0.6416  1 B 1.40
O 0.1160 0.5835 0.8584  1 B 1.40
O 0.1685 0.2346 0.6441  1 B 1.35
O 0.1685 0.2346 0.8559  1 B 1.35
O 0.1752 0.7131 0.1439  1 B 1.40
O 0.1752 0.7131 0.3561  1 B 1.40
O 0.2346 0.1685 0.1441  1 B 1.35
O 0.2346 0.1685 0.3559  1 B 1.35
O 0.2869 0.4620 0.1439  1 B 1.40
O 0.2869 0.4620 0.3561  1 B 1.40
O 0.3333 0.6667 0.9998  2 Al 1.71-1.72
O 0.3333 0.6667 0.5002  2 Al 1.71-1.72
O 0.4165 0.5326 0.6416  1 B 1.40
O 0.4165 0.5326 0.8584  1 B 1.40
O 0.4620 0.2869 0.6439  1 B 1.40
O 0.4620 0.2869 0.8561  1 B 1.40
O 0.4674 0.8840 0.6416  1 B 1.40
O 0.4674 0.8840 0.8584  1 B 1.40
O 0.5326 0.4165 0.1416  1 B 1.40
O 0.5326 0.4165 0.3584  1 B 1.40
O 0.5380 0.8248 0.1439  1 B 1.40
O 0.5380 0.8248 0.3561  1 B 1.40
O 0.5835 0.1160 0.1416  1 B 1.40
O 0.5835 0.1160 0.3584  1 B 1.40
O 0.6667 0.3333 0.0002  2 Al 1.71-1.72
O 0.6667 0.3333 0.4998  2 Al 1.71-1.72
O 0.7131 0.1752 0.6439  1 B 1.40
O 0.7131 0.1752 0.8561  1 B 1.40
O 0.7654 0.9339 0.6441  1 B 1.35
O 0.7654 0.9339 0.8559  1 B 1.35
O 0.8248 0.5380 0.6439  1 B 1.40
O 0.8248 0.5380 0.8561  1 B 1.40
O 0.8315 0.0661 0.1441  1 B 1.35
O 0.8315 0.0661 0.3559  1 B 1.35
O 0.8840 0.4674 0.1416  1 B 1.40
O 0.8840 0.4674 0.3584  1 B 1.40
O 0.9339 0.7654 0.1441  1 B 1.35
O 0.9339 0.7654 0.3559  1 B 1.35
F 0.0000 0.0000 0.0000  2 Li 1.84
F 0.0000 0.0000 0.5000  2 Li 1.84

Output
E_form (uncorrected)	-2.70	eV per atom



(6)
Material: BeAlB2
Method: DFT, PBEsol
State: optimized geometry

a = 6.8219 Å, b = 6.8219 Å, c = 6.8219 Å
α = 150.52°, β = 150.52°, γ = 42.19°
Closest atoms and distances in Å follow each position.
Atoms (fractional coordinates):
Be 0.0000 0.0000 0.0000  4 B 1.85
Be 0.7500 0.2500 0.5000  4 B 1.85
Al 0.2500 0.7500 0.5000  4 B 2.28, 4 Be 2.46
Al 0.5000 0.5000 0.0000  4 B 2.28, 4 Be 2.46
B 0.3750 0.2252 0.3502  2 Be 1.85, 2 B 1.87
B 0.7748 0.1250 0.1498  2 Be 1.85, 2 B 1.87
B 0.8750 0.0248 0.6498  2 Be 1.85, 2 B 1.87
B 0.9752 0.6250 0.8502  2 Be 1.85, 2 B 1.87

Output
formation energy	0.35	eV/atom



(7)
Material: Be2AlB2
Method: DFT, PBEsol
State: optimized geometry

a = 5.4450 Å, b = 5.4450 Å, c = 3.0442 Å
α = 90.00°, β = 90.00°, γ = 90.00°
Closest atoms and distances in Å follow each position.
Atoms (fractional coordinates):
Be 0.1526 0.3474 0.0000  4 B 2.09
Be 0.3474 0.8474 0.0000  4 B 2.09
Be 0.6526 0.1526 0.0000  4 B 2.09
Be 0.8474 0.6526 0.0000  4 B 2.09
Al 0.0000 0.0000 0.5000  4 B 2.22
Al 0.5000 0.5000 0.5000  4 B 2.22
B 0.1058 0.6058 0.5000  1 B 1.63
B 0.3942 0.1058 0.5000  1 B 1.63
B 0.6058 0.8942 0.5000  1 B 1.63
B 0.8942 0.3942 0.5000  1 B 1.63

Output
formation energy	0.32	eV/atom



(8)
Material: CsBe4Al4B12O28
Method: DFT, PBEsol
State: optimized geometry

a = 7.3536 Å, b = 7.3536 Å, c = 7.3536 Å
α = 90.00°, β = 90.00°, γ = 90.00°
Closest atoms and distances in Å follow each position.
Atoms (fractional coordinates):
Cs 0.0000 0.0000 0.0000  12 O 3.28, 4 Be 3.30
Be 0.2589 0.2589 0.7411  4 O 1.56-1.66
Be 0.2589 0.7411 0.2589  4 O 1.56-1.66
Be 0.7411 0.2589 0.2589  4 O 1.56-1.66
Be 0.7411 0.7411 0.7411  4 O 1.56-1.66
Al 0.3603 0.3603 0.3603  6 O 1.91-1.94
Al 0.3603 0.6397 0.6397  6 O 1.91-1.94
Al 0.6397 0.3603 0.6397  6 O 1.91-1.94
Al 0.6397 0.6397 0.3603  6 O 1.91-1.94
B 0.0000 0.2492 0.5000  4 O 1.49
B 0.0000 0.5000 0.2492  4 O 1.49
B 0.0000 0.5000 0.7508  4 O 1.49
B 0.0000 0.7508 0.5000  4 O 1.49
B 0.2492 0.0000 0.5000  4 O 1.49
B 0.2492 0.5000 0.0000  4 O 1.49
B 0.5000 0.0000 0.2492  4 O 1.49
B 0.5000 0.0000 0.7508  4 O 1.49
B 0.5000 0.2492 0.0000  4 O 1.49
B 0.5000 0.7508 0.0000  4 O 1.49
B 0.7508 0.0000 0.5000  4 O 1.49
B 0.7508 0.5000 0.0000  4 O 1.49
O 0.0967 0.3627 0.3627  2 B 1.49
O 0.0967 0.6373 0.6373  2 B 1.49
O 0.1362 0.1362 0.5975  2 B 1.49, 1 Be 1.66
O 0.1362 0.4025 0.8638  2 B 1.49, 1 Be 1.66
O 0.1362 0.5975 0.1362  2 B 1.49, 1 Be 1.66
O 0.1362 0.8638 0.4025  2 B 1.49, 1 Be 1.66
O 0.3627 0.0967 0.3627  2 B 1.49
O 0.3627 0.3627 0.0967  2 B 1.49
O 0.3627 0.6373 0.9033  2 B 1.49
O 0.3627 0.9033 0.6373  2 B 1.49
O 0.3813 0.3813 0.6187  1 Be 1.56
O 0.3813 0.6187 0.3813  1 Be 1.56
O 0.4025 0.1362 0.8638  2 B 1.49, 1 Be 1.66
O 0.4025 0.8638 0.1362  2 B 1.49, 1 Be 1.66
O 0.5975 0.1362 0.1362  2 B 1.49, 1 Be 1.66
O 0.5975 0.8638 0.8638  2 B 1.49, 1 Be 1.66
O 0.6187 0.3813 0.3813  1 Be 1.56
O 0.6187 0.6187 0.6187  1 Be 1.56
O 0.6373 0.0967 0.6373  2 B 1.49
O 0.6373 0.3627 0.9033  2 B 1.49
O 0.6373 0.6373 0.0967  2 B 1.49
O 0.6373 0.9033 0.3627  2 B 1.49
O 0.8638 0.1362 0.4025  2 B 1.49, 1 Be 1.66
O 0.8638 0.4025 0.1362  2 B 1.49, 1 Be 1.66
O 0.8638 0.5975 0.8638  2 B 1.49, 1 Be 1.66
O 0.8638 0.8638 0.5975  2 B 1.49, 1 Be 1.66
O 0.9033 0.3627 0.6373  2 B 1.49
O 0.9033 0.6373 0.3627  2 B 1.49

Output
E_form (uncorrected)	-2.59	eV per atom